A relaxed structure of Ba2LiUSb6, computed with PBE.

Properties
The calculation puts the final energy at -4.5646 eV/atom. As for the crystal system: triclinic. The value obtained for the formation energy from raw total energies is -386 meV/atom. Its space group is No. 2.

Geometry as POSCAR:
```
Ba2LiUSb6
1.0
-2.576 0.660 8.643
3.568 -6.085 1.437
3.952 1.553 5.806
Ba Li U Sb
2 1 1 6
direct
0.254 0.847 0.457
0.746 0.153 0.543
0.000 0.000 0.000
0.500 0.500 0.000
0.238 0.753 0.994
0.745 0.754 0.031
0.208 0.316 0.572
0.762 0.247 0.006
0.255 0.246 0.969
0.792 0.684 0.428
```

A relaxed structure of P2OsPdF, computed with PBE.

Properties
The calculation puts the final energy at -4.8310 eV/atom. As for the crystal system: tetragonal. The value obtained for the formation energy from raw total energies is 992 meV/atom. Its space group is No. 123.

Geometry as POSCAR:
```
P2OsPdF
1.0
-4.187 -0.550 0.576
-0.196 -2.126 -3.453
0.769 -3.589 2.166
P Os Pd F
2 1 1 1
direct
0.000 0.000 0.500
0.500 0.000 0.000
0.500 0.500 0.500
0.000 0.500 0.000
0.000 0.000 0.000
```

A relaxed structure of ErPuBiTe, computed with PBE.

Properties
The calculation puts the final energy at -7.3831 eV/atom. As for the crystal system: trigonal. The value obtained for the formation energy from raw total energies is -904 meV/atom. Its space group is No. 160.

Geometry as POSCAR:
```
ErPuBiTe
1.0
-3.996 0.566 -1.873
-3.476 -2.392 1.409
-4.047 4.524 4.719
Er Pu Bi Te
1 1 1 1
direct
0.444 0.444 0.667
0.943 0.943 0.170
0.697 0.697 0.910
0.192 0.192 0.424
```

A relaxed structure of ZrIn6I12, computed with PBE.

Properties
The calculation puts the final energy at -2.8008 eV/atom. As for the crystal system: trigonal. The value obtained for the formation energy from raw total energies is -507 meV/atom. Its space group is No. 148.

Geometry as POSCAR:
```
ZrIn6I12
1.0
0.821 -4.042 -8.639
7.061 -5.588 3.250
-6.388 -6.683 2.484
Zr In I
1 6 12
direct
0.000 0.000 0.000
0.157 0.357 0.683
0.643 0.317 0.843
0.317 0.843 0.643
0.843 0.643 0.317
0.357 0.683 0.157
0.683 0.157 0.357
0.433 0.176 0.591
0.176 0.591 0.433
0.591 0.433 0.176
0.567 0.824 0.409
0.824 0.409 0.567
0.409 0.567 0.824
0.003 0.000 0.700
0.300 0.997 0.000
0.000 0.300 0.997
0.997 0.000 0.300
0.700 0.003 0.000
0.000 0.700 0.003
```

A relaxed structure of ZnCu3Si, computed with PBE.

Properties
The calculation puts the final energy at -3.7697 eV/atom. As for the crystal system: monoclinic. The calculation puts the excess energy over the best structure of this formula in the dataset at 0.038 eV per atom. The value obtained for the formation energy from raw total energies is 27 meV/atom. Its space group is No. 15.

Geometry as POSCAR:
```
ZnCu3Si
1.0
6.458 -0.236 -0.175
1.237 6.428 -0.400
1.237 1.504 6.262
Zn Cu Si
4 12 4
direct
0.250 0.952 0.048
0.750 0.048 0.952
0.250 0.385 0.615
0.750 0.615 0.385
0.602 0.707 0.033
0.898 0.967 0.293
0.398 0.293 0.967
0.102 0.033 0.707
0.005 0.310 0.976
0.495 0.024 0.690
0.995 0.690 0.024
0.505 0.976 0.310
0.346 0.672 0.785
0.154 0.215 0.328
0.654 0.328 0.215
0.846 0.785 0.672
0.706 0.459 0.789
0.794 0.211 0.541
0.294 0.541 0.211
0.206 0.789 0.459
```

A relaxed structure of Zn2NiOs, computed with PBE.

Properties
The calculation puts the final energy at -4.3412 eV/atom. As for the crystal system: tetragonal. Its space group is No. 122. The energy of formation from the pure elements comes out at 2.19 eV per formula unit.

Geometry as POSCAR:
```
Zn2NiOs
1.0
-5.183 -4.169 1.043
1.400 -0.093 6.585
-3.424 -0.137 4.168
Ni Zn Os
2 4 2
direct
0.500 0.500 0.000
0.250 0.750 0.500
0.605 0.125 0.250
0.145 0.625 0.250
0.375 0.395 0.750
0.875 0.855 0.750
0.000 0.000 0.000
0.750 0.250 0.500
```

Question: Which value of final energy does entry 3 give?
Answer: -7.3831 eV/atom